Entry from Alexandria via LeMat-Bulk: an optimized crystal structure of Ho4Er8Pu (PBE-GGA).

For the density of states at the Fermi level, the calculation gives 53.95 states/eV/cell. The calculated formation energy is 517 meV/atom. The value obtained for the total moment is 18.90 Bohr magnetons per cell.

It has space group R-3m (No. 166, hexagonal axes), with a = 10.8248 Å, b = 10.8248 Å, c = 13.2311 Å, α = 90.00°, β = 90.00° and γ = 120.00°. The inequivalent atoms are Ho at (0.0000, 0.0000, 0.0000), Ho at (0.0000, 0.5000, 0.0000), Er at (0.0000, 0.0000, 0.2449), Er at (0.0066, 0.5033, 0.7480) and Pu at (0.0000, 0.0000, 0.5000).